1.
Compound: Dy2ZrGe2Rh5
Source: the Alexandria database
Functional: PBE
Structure: optimized geometry

abc: 3.6528 9.8327 9.8327
angles: 90.00 90.00 90.00
Positions (direct):
Dy  0.0000  0.6730  0.1730
Dy  0.0000  0.3270  0.8270
Dy  0.0000  0.1730  0.3270
Dy  0.0000  0.8270  0.6730
Zr  0.0000  0.0000  0.0000
Zr  0.0000  0.5000  0.5000
Ge  0.0000  0.1244  0.6244
Ge  0.0000  0.8756  0.3756
Ge  0.0000  0.6244  0.8756
Ge  0.0000  0.3756  0.1244
Rh  0.5000  0.2100  0.0679
Rh  0.5000  0.7900  0.9321
Rh  0.5000  0.0679  0.7900
Rh  0.5000  0.7100  0.4321
Rh  0.5000  0.9321  0.2100
Rh  0.5000  0.2900  0.5679
Rh  0.5000  0.5679  0.7100
Rh  0.5000  0.4321  0.2900
Rh  0.5000  0.5000  0.0000
Rh  0.5000  0.0000  0.5000

Volume   17.66 A^3/atom
D(E_F)   4.77 states/eV/cell
Calculated total energy   -7.241 eV per atom
Total magnetization   0.0 μB per formula unit
ΔH_f (0 K)   -0.8666 eV/atom
SG   No. 127

---

2.
Compound: DyZrGe2Rh5
Source: the Alexandria database
Functional: PBE
Structure: optimized geometry

abc: 4.1349 4.1349 8.8768
angles: 90.00 90.00 90.00
Positions (direct):
Dy  0.0000  0.0000  0.5000
Zr  0.0000  0.0000  0.0000
Ge  0.5000  0.5000  0.1355
Ge  0.5000  0.5000  0.8645
Rh  0.0000  0.5000  0.2681
Rh  0.5000  0.0000  0.2681
Rh  0.0000  0.5000  0.7319
Rh  0.5000  0.0000  0.7319
Rh  0.5000  0.5000  0.5000

Volume   16.86 A^3/atom
D(E_F)   6.49 states/eV/cell
Calculated total energy   -7.174 eV per atom
Total magnetization   0.0 μB per formula unit
ΔH_f (0 K)   -0.6023 eV/atom
SG   No. 123

---

3.
Compound: Dy2GeRu
Source: the Alexandria database
Functional: PBE
Structure: optimized geometry

abc: 3.6449 6.0318 8.8364
angles: 113.49 90.00 90.00
Positions (direct):
Dy  0.7500  0.2164  0.4166
Dy  0.2500  0.7836  0.5834
Dy  0.2500  0.7839  0.0562
Dy  0.7500  0.2161  0.9438
Ge  0.7500  0.6516  0.2840
Ge  0.2500  0.3484  0.7160
Ru  0.2500  0.3287  0.2149
Ru  0.7500  0.6713  0.7851

Volume   22.27 A^3/atom
D(E_F)   4.35 states/eV/cell
Calculated total energy   -6.394 eV per atom
Total magnetization   0.0 μB per formula unit
ΔH_f (0 K)   -0.6194 eV/atom
SG   No. 11